LiTlW2 GGA-PBE optimized geometry; electronic total energy = -7.030 eV per atom; SG = Pm; energy above the most stable polymorph in this dataset = 2.01 kcal/mol of atoms
1.0
-3.2719 -2.0949 1.6112
1.6377 -2.2936 0.3437
2.4373 0.4915 5.5885
W Li Tl
2 1 1
direct
0.0000 0.0609 0.0357 W
0.5000 0.2492 0.2417 W
0.0000 0.4734 0.4944 Li
0.5000 0.7165 0.7282 Tl


NaTlCu2F6 GGA-PBE optimized geometry; uncorrected formation energy = -1.81 eV per atom; electronic total energy = -4.125 eV per atom; SG = P1
1.0
-1.1663 4.8686 -2.8079
-4.2489 -3.5707 1.4424
1.6880 0.2233 5.5175
F Cu Tl Na
6 2 1 1
direct
0.5362 0.9883 0.6362 F
0.1075 0.5309 0.1525 F
0.6330 0.5703 0.1458 F
0.6637 0.5459 0.6371 F
0.0942 0.1105 0.6311 F
0.5881 0.0618 0.1438 F
0.6014 0.8008 0.3875 Cu
0.5974 0.2979 0.8813 Cu
0.0943 0.0467 0.1267 Tl
0.0497 0.5245 0.5604 Na


RbNa2SeBr GGA-PBE optimized geometry; uncorrected formation energy = -1.16 eV per atom; electronic total energy = -2.908 eV per atom; SG = P4/mmm; energy above the most stable polymorph in this dataset = 0.00 kcal/mol of atoms
1.0
-4.5946 1.7937 -2.2468
0.9857 -2.9962 -4.4076
-3.3704 -5.1729 2.7627
Se Rb Br Na
1 1 1 2
direct
0.0000 0.0000 0.0000 Se
0.0000 0.0000 0.5000 Rb
0.5000 0.5000 0.5000 Br
0.5000 0.0000 0.0000 Na
0.0000 0.5000 0.0000 Na